1:
Below is a relaxed MoF3 crystal, with properties calculated at the GGA-PBEsol level.

Calculated values
Crystal system: trigonal
Theoretical density (Mg/m³): 4.64
SG: R-3c, No. 167

a b c (Å): 5.6200 5.6200 5.6200
angles (deg): 54.53 54.53 54.53
Positions (direct):
Mo  0.0000  0.0000  0.0000
Mo  0.5000  0.5000  0.5000
F  0.1053  0.7500  0.3947
F  0.2500  0.6053  0.8947
F  0.3947  0.1053  0.7500
F  0.6053  0.8947  0.2500
F  0.7500  0.3947  0.1053
F  0.8947  0.2500  0.6053

2:
Below is a relaxed MoF3 crystal, with properties calculated at the GGA-PBEsol level.

Calculated values
Crystal system: cubic
Theoretical density (Mg/m³): 3.75
SG: Pm-3m, No. 221

a b c (Å): 4.0771 4.0771 4.0771
angles (deg): 90.00 90.00 90.00
Positions (direct):
Mo  0.0000  0.0000  0.0000
F  0.0000  0.0000  0.5000
F  0.0000  0.5000  0.0000
F  0.5000  0.0000  0.0000

Q: Which of them is the least stable? A: 2.

1:
Below is a relaxed NbSN2F crystal, with properties calculated at the GGA-PBEsol level.

Calculated values
Crystal system: tetragonal
Theoretical density (Mg/m³): 4.30
SG: P4/mmm, No. 123

a b c (Å): 4.0878 4.0878 3.9781
angles (deg): 90.00 90.00 90.00
Positions (direct):
Nb  0.0000  0.0000  0.0000
S  0.5000  0.5000  0.5000
N  0.0000  0.5000  0.0000
N  0.5000  0.0000  0.0000
F  0.0000  0.0000  0.5000

2:
Below is a relaxed NbSN2F crystal, with properties calculated at the GGA-PBEsol level.

Calculated values
Crystal system: tetragonal
Theoretical density (Mg/m³): 3.65
SG: P4/mmm, No. 123

a b c (Å): 3.9883 3.9883 4.9207
angles (deg): 90.00 90.00 90.00
Positions (direct):
Nb  0.0000  0.0000  0.0000
S  0.0000  0.0000  0.5000
N  0.0000  0.5000  0.0000
N  0.5000  0.0000  0.0000
F  0.5000  0.5000  0.5000

Q: Which of them is the least stable? A: 2.

1:
Below is a relaxed PSN2F crystal, with properties calculated at the GGA-PBEsol level.

Calculated values
Crystal system: tetragonal
Theoretical density (Mg/m³): 2.54
SG: P4/mmm, No. 123

a b c (Å): 3.5388 3.5388 5.7546
angles (deg): 90.00 90.00 90.00
Positions (direct):
P  0.0000  0.0000  0.0000
S  0.5000  0.5000  0.0000
N  0.0000  0.5000  0.5000
N  0.5000  0.0000  0.5000
F  0.5000  0.5000  0.5000

2:
Below is a relaxed PSN2F crystal, with properties calculated at the GGA-PBEsol level.

Calculated values
Crystal system: tetragonal
Theoretical density (Mg/m³): 3.99
SG: P4/mmm, No. 123

a b c (Å): 3.5709 3.5709 3.5940
angles (deg): 90.00 90.00 90.00
Positions (direct):
P  0.0000  0.0000  0.0000
S  0.5000  0.5000  0.5000
N  0.0000  0.5000  0.0000
N  0.5000  0.0000  0.0000
F  0.0000  0.0000  0.5000

Q: Which of them is the least stable? A: 1.

1:
Below is a relaxed PdSN2F crystal, with properties calculated at the GGA-PBEsol level.

Calculated values
Crystal system: tetragonal
Theoretical density (Mg/m³): 6.09
SG: P4/mmm, No. 123

a b c (Å): 3.5874 3.5874 3.9306
angles (deg): 90.00 90.00 90.00
Positions (direct):
Pd  0.0000  0.0000  0.0000
S  0.5000  0.5000  0.5000
N  0.0000  0.5000  0.5000
N  0.5000  0.0000  0.5000
F  0.5000  0.5000  0.0000

2:
Below is a relaxed PdSN2F crystal, with properties calculated at the GGA-PBEsol level.

Calculated values
Crystal system: tetragonal
Theoretical density (Mg/m³): 4.45
SG: P4/mmm, No. 123

a b c (Å): 3.5355 3.5355 5.5387
angles (deg): 90.00 90.00 90.00
Positions (direct):
Pd  0.0000  0.0000  0.0000
S  0.5000  0.5000  0.0000
N  0.0000  0.5000  0.5000
N  0.5000  0.0000  0.5000
F  0.5000  0.5000  0.5000

Q: Which of them is the least stable? A: 2.

1:
Below is a relaxed PtS2NF crystal, with properties calculated at the GGA-PBEsol level.

Calculated values
Crystal system: tetragonal
Theoretical density (Mg/m³): 7.07
SG: P4/mmm, No. 123

a b c (Å): 4.3661 4.3661 3.6026
angles (deg): 90.00 90.00 90.00
Positions (direct):
Pt  0.0000  0.0000  0.0000
S  0.0000  0.5000  0.5000
S  0.5000  0.0000  0.5000
N  0.5000  0.5000  0.0000
F  0.5000  0.5000  0.5000

2:
Below is a relaxed PtS2NF crystal, with properties calculated at the GGA-PBEsol level.

Calculated values
Crystal system: tetragonal
Theoretical density (Mg/m³): 5.60
SG: P4/mmm, No. 123

a b c (Å): 4.8905 4.8905 3.6242
angles (deg): 90.00 90.00 90.00
Positions (direct):
Pt  0.0000  0.0000  0.0000
S  0.0000  0.5000  0.0000
S  0.5000  0.0000  0.0000
N  0.0000  0.0000  0.5000
F  0.5000  0.5000  0.5000

Q: Which of them is the least stable? A: 1.

1:
Below is a relaxed ScPtNF2 crystal, with properties calculated at the GGA-PBEsol level.

Calculated values
Crystal system: tetragonal
Theoretical density (Mg/m³): 6.56
SG: P4/mmm, No. 123

a b c (Å): 4.4909 4.4909 3.6646
angles (deg): 90.00 90.00 90.00
Positions (direct):
Sc  0.0000  0.0000  0.0000
Pt  0.5000  0.5000  0.5000
N  0.5000  0.5000  0.0000
F  0.0000  0.5000  0.5000
F  0.5000  0.0000  0.5000

2:
Below is a relaxed ScPtNF2 crystal, with properties calculated at the GGA-PBEsol level.

Calculated values
Crystal system: tetragonal
Theoretical density (Mg/m³): 7.29
SG: P4/mmm, No. 123

a b c (Å): 3.8113 3.8113 4.5771
angles (deg): 90.00 90.00 90.00
Positions (direct):
Sc  0.0000  0.0000  0.0000
Pt  0.5000  0.5000  0.5000
N  0.0000  0.0000  0.5000
F  0.0000  0.5000  0.0000
F  0.5000  0.0000  0.0000

Q: Which of them is the least stable? A: 1.

1:
Below is a relaxed RbSiN2F crystal, with properties calculated at the GGA-PBEsol level.

Calculated values
Crystal system: tetragonal
Theoretical density (Mg/m³): 4.27
SG: P4/mmm, No. 123

a b c (Å): 3.5266 3.5266 5.0165
angles (deg): 90.00 90.00 90.00
Positions (direct):
Rb  0.0000  0.0000  0.0000
Si  0.5000  0.5000  0.5000
N  0.0000  0.5000  0.5000
N  0.5000  0.0000  0.5000
F  0.5000  0.5000  0.0000

2:
Below is a relaxed RbSiN2F crystal, with properties calculated at the GGA-PBEsol level.

Calculated values
Crystal system: tetragonal
Theoretical density (Mg/m³): 2.84
SG: P4/mmm, No. 123

a b c (Å): 4.4746 4.4746 4.6861
angles (deg): 90.00 90.00 90.00
Positions (direct):
Rb  0.0000  0.0000  0.0000
Si  0.5000  0.5000  0.5000
N  0.0000  0.5000  0.0000
N  0.5000  0.0000  0.0000
F  0.0000  0.0000  0.5000

Q: Which of them is the least stable? A: 2.

1:
Below is a relaxed RbTeN2F crystal, with properties calculated at the GGA-PBEsol level.

Calculated values
Crystal system: tetragonal
Theoretical density (Mg/m³): 5.51
SG: P4/mmm, No. 123

a b c (Å): 4.0351 4.0351 4.8162
angles (deg): 90.00 90.00 90.00
Positions (direct):
Rb  0.0000  0.0000  0.0000
Te  0.5000  0.5000  0.5000
N  0.0000  0.5000  0.5000
N  0.5000  0.0000  0.5000
F  0.5000  0.5000  0.0000

2:
Below is a relaxed RbTeN2F crystal, with properties calculated at the GGA-PBEsol level.

Calculated values
Crystal system: tetragonal
Theoretical density (Mg/m³): 3.63
SG: P4/mmm, No. 123

a b c (Å): 5.2677 5.2677 4.2872
angles (deg): 90.00 90.00 90.00
Positions (direct):
Rb  0.0000  0.0000  0.0000
Te  0.5000  0.5000  0.0000
N  0.0000  0.5000  0.5000
N  0.5000  0.0000  0.5000
F  0.5000  0.5000  0.5000

Q: Which of them is the least stable? A: 2.

1:
Below is a relaxed SbS2NF crystal, with properties calculated at the GGA-PBEsol level.

Calculated values
Crystal system: tetragonal
Theoretical density (Mg/m³): 4.74
SG: P4/mmm, No. 123

a b c (Å): 4.3931 4.3931 3.9715
angles (deg): 90.00 90.00 90.00
Positions (direct):
Sb  0.0000  0.0000  0.0000
S  0.0000  0.5000  0.5000
S  0.5000  0.0000  0.5000
N  0.5000  0.5000  0.0000
F  0.5000  0.5000  0.5000

2:
Below is a relaxed SbS2NF crystal, with properties calculated at the GGA-PBEsol level.

Calculated values
Crystal system: tetragonal
Theoretical density (Mg/m³): 3.64
SG: P4/mmm, No. 123

a b c (Å): 5.0280 5.0280 3.9458
angles (deg): 90.00 90.00 90.00
Positions (direct):
Sb  0.0000  0.0000  0.0000
S  0.0000  0.5000  0.0000
S  0.5000  0.0000  0.0000
N  0.0000  0.0000  0.5000
F  0.5000  0.5000  0.5000

Q: Which of them is the least stable? A: 1.

1:
Below is a relaxed ZnSN2F crystal, with properties calculated at the GGA-PBEsol level.

Calculated values
Crystal system: tetragonal
Theoretical density (Mg/m³): 3.01
SG: P4/mmm, No. 123

a b c (Å): 3.5754 3.5754 6.2429
angles (deg): 90.00 90.00 90.00
Positions (direct):
Zn  0.0000  0.0000  0.0000
S  0.5000  0.5000  0.0000
N  0.0000  0.5000  0.5000
N  0.5000  0.0000  0.5000
F  0.5000  0.5000  0.5000

2:
Below is a relaxed ZnSN2F crystal, with properties calculated at the GGA-PBEsol level.

Calculated values
Crystal system: tetragonal
Theoretical density (Mg/m³): 3.30
SG: P4/mmm, No. 123

a b c (Å): 3.7381 3.7381 5.2052
angles (deg): 90.00 90.00 90.00
Positions (direct):
Zn  0.0000  0.0000  0.0000
S  0.0000  0.0000  0.5000
N  0.0000  0.5000  0.0000
N  0.5000  0.0000  0.0000
F  0.5000  0.5000  0.5000

Q: Which of them is the least stable? A: 1.

1:
Below is a relaxed SbTe2NF crystal, with properties calculated at the GGA-PBEsol level.

Calculated values
Crystal system: tetragonal
Theoretical density (Mg/m³): 5.41
SG: P4/mmm, No. 123

a b c (Å): 5.7393 5.7393 3.8171
angles (deg): 90.00 90.00 90.00
Positions (direct):
Sb  0.0000  0.0000  0.0000
Te  0.0000  0.5000  0.0000
Te  0.5000  0.0000  0.0000
N  0.0000  0.0000  0.5000
F  0.5000  0.5000  0.5000

2:
Below is a relaxed SbTe2NF crystal, with properties calculated at the GGA-PBEsol level.

Calculated values
Crystal system: tetragonal
Theoretical density (Mg/m³): 5.87
SG: P4/mmm, No. 123

a b c (Å): 5.0150 5.0150 4.6117
angles (deg): 90.00 90.00 90.00
Positions (direct):
Sb  0.0000  0.0000  0.0000
Te  0.0000  0.5000  0.5000
Te  0.5000  0.0000  0.5000
N  0.5000  0.5000  0.0000
F  0.0000  0.0000  0.5000

Q: Which of them is the least stable? A: 2.

1:
Below is a relaxed SnSeNF2 crystal, with properties calculated at the GGA-PBEsol level.

Calculated values
Crystal system: tetragonal
Theoretical density (Mg/m³): 5.88
SG: P4/mmm, No. 123

a b c (Å): 4.0954 4.0954 4.2065
angles (deg): 90.00 90.00 90.00
Positions (direct):
Sn  0.0000  0.0000  0.0000
Se  0.5000  0.5000  0.5000
N  0.0000  0.0000  0.5000
F  0.0000  0.5000  0.0000
F  0.5000  0.0000  0.0000

2:
Below is a relaxed SnSeNF2 crystal, with properties calculated at the GGA-PBEsol level.

Calculated values
Crystal system: tetragonal
Theoretical density (Mg/m³): 5.40
SG: P4/mmm, No. 123

a b c (Å): 4.4945 4.4945 3.8005
angles (deg): 90.00 90.00 90.00
Positions (direct):
Sn  0.0000  0.0000  0.0000
Se  0.5000  0.5000  0.5000
N  0.5000  0.5000  0.0000
F  0.0000  0.5000  0.5000
F  0.5000  0.0000  0.5000

Q: Which of them is the least stable? A: 2.